Record 1
Computed, not measured: TaIr2Pt after structural relaxation at the PBE-GGA level of DFT.

Values from the calculation:
As for the space group: No. 139. The polymorph energy (0 for the lowest one) is 0.109 eV/atom. For the total DFT energy (no corrections), the calculation gives -9.4428 eV/atom. For the formation energy, the calculation gives -539 meV/atom. The crystal system is tetragonal.

Cell lengths 4.8129, 4.8129, 4.8136 Å; angles 131.10, 131.10, 71.64 degrees
Fractional coordinates of all 4 atoms:
Pt  0.7500  0.2500  0.5000
Ir  0.5000  0.5000  0.0000
Ir  0.0000  0.0000  0.0000
Ta  0.2500  0.7500  0.5000

---

Record 2
Computed, not measured: U2Ni2As3 after structural relaxation at the PBE-GGA level of DFT.

Values from the calculation:
As for the space group: No. 2. For the total DFT energy (no corrections), the calculation gives -7.2223 eV/atom. For the formation energy, the calculation gives -353 meV/atom. The crystal system is triclinic.

Cell lengths 3.6539, 6.1328, 5.4771 Å; angles 90.15, 72.49, 91.11 degrees
Fractional coordinates of all 7 atoms:
As  0.8455  0.4753  0.2585
As  0.0000  0.0000  0.0000
As  0.1545  0.5247  0.7415
U  0.2842  0.1305  0.4326
U  0.7158  0.8695  0.5674
Ni  0.4188  0.7001  0.0973
Ni  0.5812  0.2999  0.9027

---

no.,total magnetic moment (μB per formula unit)
1,0.0
2,0.0